# 1
# Dy2TeS, optimized geometry, DFT PBE
data_Dy2TeS
_chemical_formula_sum 'Dy8 Te4 S4'
_cell_length_a 5.732
_cell_length_b 6.282
_cell_length_c 11.459
_cell_angle_alpha 90.00
_cell_angle_beta 90.00
_cell_angle_gamma 90.00
_space_group_name_H-M_alt 'P 1'
_space_group_IT_number 1
_space_group_name_Hall 'P 1'
loop_
_atom_site_label
_atom_site_type_symbol
_atom_site_fract_x
_atom_site_fract_y
_atom_site_fract_z
Dy1 Dy 0.000 0.187 0.136
Dy2 Dy 0.000 0.194 0.608
Dy3 Dy 0.000 0.806 0.392
Dy4 Dy 0.000 0.813 0.864
Dy5 Dy 0.500 0.187 0.364
Dy6 Dy 0.500 0.194 0.892
Dy7 Dy 0.500 0.806 0.108
Dy8 Dy 0.500 0.813 0.636
Te1 Te 0.000 0.308 0.872
Te2 Te 0.000 0.692 0.128
Te3 Te 0.500 0.308 0.628
Te4 Te 0.500 0.692 0.372
S1 S 0.000 0.242 0.372
S2 S 0.000 0.758 0.628
S3 S 0.500 0.242 0.128
S4 S 0.500 0.758 0.872
# SG	No. 53
# uncorrected formation energy	-1.545	eV/atom
# total magnetic moment	0.000	Bohr magnetons per cell
# distance to the lowest polymorph of the same formula	138	meV/atom

=====

# 2
# Dy2TeS, optimized geometry, DFT PBE
data_Dy2TeS
_chemical_formula_sum 'Dy6 Te3 S3'
_cell_length_a 4.013
_cell_length_b 4.013
_cell_length_c 21.378
_cell_angle_alpha 90.00
_cell_angle_beta 90.00
_cell_angle_gamma 120.00
_space_group_name_H-M_alt 'P 1'
_space_group_IT_number 1
_space_group_name_Hall 'P 1'
loop_
_atom_site_label
_atom_site_type_symbol
_atom_site_fract_x
_atom_site_fract_y
_atom_site_fract_z
Dy1 Dy 0.000 0.000 0.000
Dy2 Dy 0.000 0.000 0.195
Dy3 Dy 0.333 0.667 0.667
Dy4 Dy 0.333 0.667 0.862
Dy5 Dy 0.667 0.333 0.333
Dy6 Dy 0.667 0.333 0.528
Te1 Te 0.000 0.000 0.765
Te2 Te 0.333 0.667 0.431
Te3 Te 0.667 0.333 0.098
S1 S 0.000 0.000 0.595
S2 S 0.333 0.667 0.262
S3 S 0.667 0.333 0.929
# SG	No. 160
# uncorrected formation energy	-1.682	eV/atom
# total magnetic moment	0.000	Bohr magnetons per cell
# distance to the lowest polymorph of the same formula	0	meV/atom

=====

# 3
# Dy4TeS3, optimized geometry, DFT PBE
data_Dy4TeS3
_chemical_formula_sum 'Dy8 Te2 S6'
_cell_length_a 3.972
_cell_length_b 3.972
_cell_length_c 26.819
_cell_angle_alpha 90.00
_cell_angle_beta 90.00
_cell_angle_gamma 120.00
_space_group_name_H-M_alt 'P 1'
_space_group_IT_number 1
_space_group_name_Hall 'P 1'
loop_
_atom_site_label
_atom_site_type_symbol
_atom_site_fract_x
_atom_site_fract_y
_atom_site_fract_z
Dy1 Dy 0.000 0.000 0.172
Dy2 Dy 0.000 0.000 0.328
Dy3 Dy 0.000 0.000 0.672
Dy4 Dy 0.000 0.000 0.828
Dy5 Dy 0.333 0.667 0.061
Dy6 Dy 0.333 0.667 0.439
Dy7 Dy 0.667 0.333 0.561
Dy8 Dy 0.667 0.333 0.939
Te1 Te 0.333 0.667 0.250
Te2 Te 0.667 0.333 0.750
S1 S 0.000 0.000 0.000
S2 S 0.000 0.000 0.500
S3 S 0.333 0.667 0.617
S4 S 0.333 0.667 0.883
S5 S 0.667 0.333 0.117
S6 S 0.667 0.333 0.383
# SG	No. 194
# uncorrected formation energy	-1.835	eV/atom
# total magnetic moment	0.000	Bohr magnetons per cell

=====

# 4
# Dy5Te4S, optimized geometry, DFT PBE
data_Dy5Te4S
_chemical_formula_sum 'Dy5 Te4 S1'
_cell_length_a 16.069
_cell_length_b 16.069
_cell_length_c 16.069
_cell_angle_alpha 165.02
_cell_angle_beta 165.02
_cell_angle_gamma 21.25
_space_group_name_H-M_alt 'P 1'
_space_group_IT_number 1
_space_group_name_Hall 'P 1'
loop_
_atom_site_label
_atom_site_type_symbol
_atom_site_fract_x
_atom_site_fract_y
_atom_site_fract_z
Dy1 Dy 0.000 0.000 0.000
Dy2 Dy 0.213 0.213 0.000
Dy3 Dy 0.417 0.417 0.000
Dy4 Dy 0.583 0.583 0.000
Dy5 Dy 0.787 0.787 0.000
Te1 Te 0.101 0.101 0.000
Te2 Te 0.311 0.311 0.000
Te3 Te 0.689 0.689 0.000
Te4 Te 0.899 0.899 0.000
S1 S 0.500 0.500 0.000
# SG	No. 139
# uncorrected formation energy	-1.410	eV/atom
# total magnetic moment	0.000	Bohr magnetons per cell

=====

# 5
# Dy4TlTe2S, optimized geometry, DFT PBE
data_Dy4TlTe2S
_chemical_formula_sum 'Dy4 Tl1 Te2 S1'
_cell_length_a 7.399
_cell_length_b 4.174
_cell_length_c 7.521
_cell_angle_alpha 90.00
_cell_angle_beta 108.55
_cell_angle_gamma 90.00
_space_group_name_H-M_alt 'P 1'
_space_group_IT_number 1
_space_group_name_Hall 'P 1'
loop_
_atom_site_label
_atom_site_type_symbol
_atom_site_fract_x
_atom_site_fract_y
_atom_site_fract_z
Dy1 Dy 0.229 0.000 0.219
Dy2 Dy 0.245 0.500 0.765
Dy3 Dy 0.755 0.500 0.235
Dy4 Dy 0.771 0.000 0.781
Tl1 Tl 0.500 0.000 0.000
Te1 Te 0.000 0.000 0.500
Te2 Te 0.500 0.500 0.500
S1 S 0.000 0.500 0.000
# SG	No. 10
# uncorrected formation energy	-1.199	eV/atom
# total magnetic moment	0.000	Bohr magnetons per cell

=====

# 6
# DyTlTeS, optimized geometry, DFT PBE
data_DyTlTeS
_chemical_formula_sum 'Dy3 Tl3 Te3 S3'
_cell_length_a 4.230
_cell_length_b 4.230
_cell_length_c 24.109
_cell_angle_alpha 90.00
_cell_angle_beta 90.00
_cell_angle_gamma 120.00
_space_group_name_H-M_alt 'P 1'
_space_group_IT_number 1
_space_group_name_Hall 'P 1'
loop_
_atom_site_label
_atom_site_type_symbol
_atom_site_fract_x
_atom_site_fract_y
_atom_site_fract_z
Dy1 Dy 0.000 0.000 0.000
Dy2 Dy 0.333 0.667 0.667
Dy3 Dy 0.667 0.333 0.333
Tl1 Tl 0.000 0.000 0.840
Tl2 Tl 0.333 0.667 0.506
Tl3 Tl 0.667 0.333 0.173
Te1 Te 0.000 0.000 0.415
Te2 Te 0.333 0.667 0.081
Te3 Te 0.667 0.333 0.748
S1 S 0.000 0.000 0.616
S2 S 0.333 0.667 0.282
S3 S 0.667 0.333 0.949
# SG	No. 160
# uncorrected formation energy	-1.240	eV/atom
# total magnetic moment	0.000	Bohr magnetons per cell

=====

# 7
# DyTmTeS, optimized geometry, DFT PBE
data_DyTmTeS
_chemical_formula_sum 'Dy3 Tm3 Te3 S3'
_cell_length_a 3.977
_cell_length_b 3.977
_cell_length_c 21.297
_cell_angle_alpha 90.00
_cell_angle_beta 90.00
_cell_angle_gamma 120.00
_space_group_name_H-M_alt 'P 1'
_space_group_IT_number 1
_space_group_name_Hall 'P 1'
loop_
_atom_site_label
_atom_site_type_symbol
_atom_site_fract_x
_atom_site_fract_y
_atom_site_fract_z
Dy1 Dy 0.000 0.000 0.000
Dy2 Dy 0.333 0.667 0.667
Dy3 Dy 0.667 0.333 0.333
Tm1 Tm 0.000 0.000 0.195
Tm2 Tm 0.333 0.667 0.862
Tm3 Tm 0.667 0.333 0.528
Te1 Te 0.000 0.000 0.431
Te2 Te 0.333 0.667 0.098
Te3 Te 0.667 0.333 0.765
S1 S 0.000 0.000 0.598
S2 S 0.333 0.667 0.265
S3 S 0.667 0.333 0.932
# SG	No. 160
# uncorrected formation energy	-1.637	eV/atom
# total magnetic moment	0.000	Bohr magnetons per cell

=====

# 8
# DyTmTe2S, optimized geometry, DFT PBE
data_DyTmTe2S
_chemical_formula_sum 'Dy2 Tm2 Te4 S2'
_cell_length_a 4.372
_cell_length_b 4.372
_cell_length_c 15.523
_cell_angle_alpha 90.00
_cell_angle_beta 90.00
_cell_angle_gamma 90.00
_space_group_name_H-M_alt 'P 1'
_space_group_IT_number 1
_space_group_name_Hall 'P 1'
loop_
_atom_site_label
_atom_site_type_symbol
_atom_site_fract_x
_atom_site_fract_y
_atom_site_fract_z
Dy1 Dy 0.250 0.250 0.101
Dy2 Dy 0.750 0.750 0.899
Tm1 Tm 0.250 0.250 0.614
Tm2 Tm 0.750 0.750 0.386
Te1 Te 0.250 0.250 0.409
Te2 Te 0.250 0.250 0.799
Te3 Te 0.750 0.750 0.201
Te4 Te 0.750 0.750 0.591
S1 S 0.250 0.750 0.000
S2 S 0.750 0.250 0.000
# SG	No. 129
# uncorrected formation energy	-1.438	eV/atom
# total magnetic moment	0.000	Bohr magnetons per cell

=====

# 9
# Dy2U2Te2S5, optimized geometry, DFT PBE
data_Dy2U2Te2S5
_chemical_formula_sum 'Dy2 U2 Te2 S5'
_cell_length_a 13.002
_cell_length_b 13.002
_cell_length_c 13.002
_cell_angle_alpha 156.86
_cell_angle_beta 156.86
_cell_angle_gamma 32.96
_space_group_name_H-M_alt 'P 1'
_space_group_IT_number 1
_space_group_name_Hall 'P 1'
loop_
_atom_site_label
_atom_site_type_symbol
_atom_site_fract_x
_atom_site_fract_y
_atom_site_fract_z
Dy1 Dy 0.158 0.158 0.000
Dy2 Dy 0.842 0.842 0.000
U1 U 0.397 0.397 0.000
U2 U 0.603 0.603 0.000
Te1 Te 0.278 0.278 0.000
Te2 Te 0.722 0.722 0.000
S1 S 0.113 0.613 0.500
S2 S 0.387 0.887 0.500
S3 S 0.500 0.500 0.000
S4 S 0.613 0.113 0.500
S5 S 0.887 0.387 0.500
# SG	No. 139
# uncorrected formation energy	-1.295	eV/atom
# total magnetic moment	3.517	Bohr magnetons per cell

=====

# 10
# DyY2Te2S2, optimized geometry, DFT PBE
data_DyY2Te2S2
_chemical_formula_sum 'Dy2 Y4 Te4 S4'
_cell_length_a 5.060
_cell_length_b 5.060
_cell_length_c 15.621
_cell_angle_alpha 90.00
_cell_angle_beta 90.00
_cell_angle_gamma 90.00
_space_group_name_H-M_alt 'P 1'
_space_group_IT_number 1
_space_group_name_Hall 'P 1'
loop_
_atom_site_label
_atom_site_type_symbol
_atom_site_fract_x
_atom_site_fract_y
_atom_site_fract_z
Dy1 Dy 0.000 0.000 0.000
Dy2 Dy 0.500 0.500 0.500
Y1 Y 0.000 0.000 0.388
Y2 Y 0.000 0.000 0.612
Y3 Y 0.500 0.500 0.112
Y4 Y 0.500 0.500 0.888
Te1 Te 0.000 0.000 0.190
Te2 Te 0.000 0.000 0.810
Te3 Te 0.500 0.500 0.310
Te4 Te 0.500 0.500 0.690
S1 S 0.000 0.500 0.000
S2 S 0.000 0.500 0.500
S3 S 0.500 0.000 0.000
S4 S 0.500 0.000 0.500
# SG	No. 139
# uncorrected formation energy	-1.351	eV/atom
# total magnetic moment	0.846	Bohr magnetons per cell

=====

# 11
# DyYTeS, optimized geometry, DFT PBE
data_DyYTeS
_chemical_formula_sum 'Dy3 Y3 Te3 S3'
_cell_length_a 4.023
_cell_length_b 4.023
_cell_length_c 21.384
_cell_angle_alpha 90.00
_cell_angle_beta 90.00
_cell_angle_gamma 120.00
_space_group_name_H-M_alt 'P 1'
_space_group_IT_number 1
_space_group_name_Hall 'P 1'
loop_
_atom_site_label
_atom_site_type_symbol
_atom_site_fract_x
_atom_site_fract_y
_atom_site_fract_z
Dy1 Dy 0.000 0.000 0.000
Dy2 Dy 0.333 0.667 0.667
Dy3 Dy 0.667 0.333 0.333
Y1 Y 0.000 0.000 0.195
Y2 Y 0.333 0.667 0.862
Y3 Y 0.667 0.333 0.528
Te1 Te 0.000 0.000 0.430
Te2 Te 0.333 0.667 0.097
Te3 Te 0.667 0.333 0.763
S1 S 0.000 0.000 0.600
S2 S 0.333 0.667 0.267
S3 S 0.667 0.333 0.933
# SG	No. 160
# uncorrected formation energy	-1.693	eV/atom
# total magnetic moment	0.000	Bohr magnetons per cell

=====

# 12
# Dy6ZnTe3S2, optimized geometry, DFT PBE
data_Dy6ZnTe3S2
_chemical_formula_sum 'Dy6 Zn1 Te3 S2'
_cell_length_a 7.130
_cell_length_b 7.130
_cell_length_c 7.410
_cell_angle_alpha 99.20
_cell_angle_beta 99.20
_cell_angle_gamma 119.83
_space_group_name_H-M_alt 'P 1'
_space_group_IT_number 1
_space_group_name_Hall 'P 1'
loop_
_atom_site_label
_atom_site_type_symbol
_atom_site_fract_x
_atom_site_fract_y
_atom_site_fract_z
Dy1 Dy 0.094 0.429 0.784
Dy2 Dy 0.237 0.237 0.214
Dy3 Dy 0.429 0.094 0.784
Dy4 Dy 0.571 0.906 0.216
Dy5 Dy 0.763 0.763 0.786
Dy6 Dy 0.906 0.571 0.216
Zn1 Zn 0.500 0.500 0.000
Te1 Te 0.000 0.000 0.500
Te2 Te 0.333 0.667 0.500
Te3 Te 0.667 0.333 0.500
S1 S 0.166 0.834 0.000
S2 S 0.834 0.166 0.000
# SG	No. 12
# uncorrected formation energy	-1.376	eV/atom
# total magnetic moment	0.000	Bohr magnetons per cell